Below is TmTe2H after structural relaxation, with properties calculated at the PBE-GGA level.

M_tot, μB per atom: 0.000
E, eV per atom: -4.255
SG: P1, No. 1

```
8
Lattice="4.4167 0.0003 0.0020 0.0005 7.8628 0.0448 -2.2047 -2.6406 7.2333" Properties=species:S:1:pos:R:3 pbc="T T T"
H 0.6158 3.0295 1.0857
Tm 0.9552 6.0182 4.0633
Te 0.9251 3.1544 2.7399
Te 0.9507 0.4119 5.9641
H -1.5958 4.4667 7.2334
Te -1.2827 4.3482 5.5792
Tm -1.2555 1.4857 4.2564
Te 3.1624 -0.7711 2.3131
```